# 1
Zr2IrPt: relaxed, GGA-PBE.

## Properties
Calculated volume ... 157.4 Å³/cell
Calculated formation energy ... -430 meV/atom

Cell: 7.375 7.375 5.964 Å, 51.81 51.81 90.00°
Fractional coordinates of all 8 atoms:
1 Ir 0.250 0.750 0.500
2 Zr 0.616 0.125 0.250
3 Zr 0.134 0.625 0.250
4 Zr 0.875 0.866 0.750
5 Zr 0.375 0.384 0.750
6 Pt 0.750 0.250 0.500
7 Pt 0.000 0.000 0.000
8 Ir 0.500 0.500 0.000

***

# 2
Cs3Mg2TlCl9: relaxed, GGA-PBE.

## Properties
Calculated volume ... 444.8 Å³/cell
Energy relative to the elements, uncorrected ... -1.69 eV/atom

Cell: 7.472 7.472 9.199 Å, 90.00 90.00 120.00°
Fractional coordinates of all 15 atoms:
1 Cs 0.333 0.667 0.666
2 Cs 0.000 0.000 0.000
3 Cs 0.667 0.333 0.334
4 Tl 0.000 0.000 0.500
5 Cl 0.177 0.823 0.320
6 Cl 0.646 0.823 0.320
7 Mg 0.667 0.333 0.848
8 Cl 0.500 0.000 0.000
9 Cl 0.000 0.500 0.000
10 Cl 0.500 0.500 0.000
11 Cl 0.177 0.354 0.320
12 Mg 0.333 0.667 0.152
13 Cl 0.823 0.646 0.680
14 Cl 0.354 0.177 0.680
15 Cl 0.823 0.177 0.680

***

# 3
ReSbPS2: relaxed, GGA-PBE.

## Properties
Calculated volume ... 122.9 Å³/cell
Energy relative to the elements, uncorrected ... 1.63 eV/atom
Polymorph energy (0 for the lowest one) ... 1170 meV/atom

Cell: 4.884 4.884 5.149 Å, 90.00 90.00 90.00°
Fractional coordinates of all 5 atoms:
1 S 0.500 0.000 0.000
2 P 0.000 0.000 0.500
3 Sb 0.000 0.000 0.000
4 Re 0.500 0.500 0.500
5 S 0.000 0.500 0.000

***

# 4
Li3VS4: relaxed, GGA-PBE.

## Properties
Calculated volume ... 665.4 Å³/cell
Energy relative to the elements, uncorrected ... -1.05 eV/atom
Polymorph energy (0 for the lowest one) ... 62 meV/atom

Cell: 7.088 7.394 13.867 Å, 66.28 90.00 90.00°
Fractional coordinates of all 32 atoms:
1 Li 0.669 0.046 0.060
2 Li 0.916 0.694 0.888
3 S 0.669 0.816 0.720
4 Li 0.584 0.694 0.388
5 S 0.697 0.355 0.713
6 V 0.649 0.658 0.619
7 S 0.331 0.184 0.280
8 Li 0.416 0.306 0.612
9 S 0.363 0.227 0.004
10 Li 0.084 0.306 0.112
11 S 0.169 0.184 0.780
12 S 0.863 0.773 0.496
13 S 0.873 0.323 0.955
14 S 0.197 0.645 0.787
15 S 0.637 0.773 0.996
16 V 0.149 0.342 0.881
17 Li 0.169 0.954 0.440
18 S 0.627 0.323 0.455
19 Li 0.434 0.525 0.148
20 S 0.303 0.645 0.287
21 S 0.373 0.677 0.545
22 V 0.351 0.342 0.381
23 V 0.851 0.658 0.119
24 S 0.831 0.816 0.220
25 S 0.803 0.355 0.213
26 Li 0.331 0.954 0.940
27 Li 0.934 0.475 0.352
28 Li 0.066 0.525 0.648
29 S 0.137 0.227 0.504
30 Li 0.566 0.475 0.852
31 S 0.127 0.677 0.045
32 Li 0.831 0.046 0.560

***

# 5
TbCd3Pd3: relaxed, GGA-PBE.

## Properties
Calculated volume ... 143.9 Å³/cell
Calculated formation energy ... -467 meV/atom
Polymorph energy (0 for the lowest one) ... 0 meV/atom

Cell: 5.728 5.728 5.728 Å, 109.61 109.61 109.61°
Fractional coordinates of all 7 atoms:
1 Tb 0.022 0.022 0.022
2 Cd 0.544 0.544 0.057
3 Pd 0.045 0.045 0.543
4 Pd 0.543 0.045 0.045
5 Cd 0.057 0.544 0.544
6 Cd 0.544 0.057 0.544
7 Pd 0.045 0.543 0.045

***

# 6
La2CuHRu: relaxed, GGA-PBE.

## Properties
Calculated volume ... 97.8 Å³/cell
Polymorph energy (0 for the lowest one) ... 0 meV/atom

Cell: 5.139 5.139 3.702 Å, 90.00 90.00 90.00°
Fractional coordinates of all 5 atoms:
1 La 0.500 0.000 0.000
2 H 0.000 0.000 0.000
3 Cu 0.500 0.500 0.500
4 La 0.000 0.500 0.000
5 Ru 0.000 0.000 0.500

***

# 7
InGa2I3: relaxed, GGA-PBE.

## Properties
Calculated volume ... 232.9 Å³/cell
Energy relative to the elements, uncorrected ... -0.37 eV/atom
Polymorph energy (0 for the lowest one) ... 0 meV/atom

Cell: 4.792 4.793 10.694 Å, 102.97 102.97 90.01°
Fractional coordinates of all 6 atoms:
1 In 0.434 0.436 0.874
2 Ga 0.765 0.766 0.536
3 I 0.934 0.936 0.874
4 I 0.607 0.608 0.219
5 Ga 0.103 0.104 0.211
6 I 0.262 0.263 0.529

***

# 8
Nb3CrGa4: relaxed, GGA-PBE.

## Properties
Calculated volume ... 264.2 Å³/cell
Calculated formation energy ... -86 meV/atom

Cell: 4.870 5.637 9.624 Å, 90.00 90.00 90.00°
Fractional coordinates of all 16 atoms:
1 Ga 0.064 0.893 0.000
2 Nb 0.064 0.613 0.242
3 Cr 0.065 0.404 0.000
4 Nb 0.064 0.613 0.758
5 Ga 0.064 0.875 0.500
6 Ga 0.064 0.119 0.756
7 Ga 0.064 0.119 0.244
8 Nb 0.564 0.612 0.000
9 Ga 0.564 0.125 0.000
10 Nb 0.064 0.388 0.500
11 Ga 0.564 0.881 0.256
12 Cr 0.565 0.596 0.500
13 Ga 0.564 0.881 0.744
14 Ga 0.564 0.107 0.500
15 Nb 0.564 0.387 0.742
16 Nb 0.564 0.387 0.258